ZrNb2Pd | PBE-GGA | relaxed

Cell: 7.7164 7.7164 5.3572 Å, 90.00 90.00 90.00°
Closest atoms and distances in Å follow each position.
Fractional positions:
Zr 0.0000 0.0000 0.0000  2 Pd 2.68, 4 Nb 2.96
Zr 0.0000 0.5000 0.2500  2 Pd 2.68, 4 Nb 2.96
Zr 0.5000 0.0000 0.7500  2 Pd 2.68, 4 Nb 2.96
Zr 0.5000 0.5000 0.5000  2 Pd 2.68, 4 Nb 2.96
Nb 0.2221 0.2500 0.6250  2 Pd 2.67, 2 Nb 2.71, 2 Zr 2.96
Nb 0.2500 0.7221 0.8750  2 Pd 2.67, 2 Nb 2.71, 2 Zr 2.96
Nb 0.2500 0.7779 0.3750  2 Pd 2.67, 2 Nb 2.71, 2 Zr 2.96
Nb 0.2779 0.2500 0.1250  2 Pd 2.67, 2 Nb 2.71, 2 Zr 2.96
Nb 0.7221 0.7500 0.1250  2 Pd 2.67, 2 Nb 2.71, 2 Zr 2.96
Nb 0.7500 0.2221 0.3750  2 Pd 2.67, 2 Nb 2.71, 2 Zr 2.96
Nb 0.7500 0.2779 0.8750  2 Pd 2.67, 2 Nb 2.71, 2 Zr 2.96
Nb 0.7779 0.7500 0.6250  2 Pd 2.67, 2 Nb 2.71, 2 Zr 2.96
Pd 0.0000 0.0000 0.5000  4 Nb 2.67, 2 Zr 2.68
Pd 0.0000 0.5000 0.7500  4 Nb 2.67, 2 Zr 2.68
Pd 0.5000 0.0000 0.2500  4 Nb 2.67, 2 Zr 2.68
Pd 0.5000 0.5000 0.0000  4 Nb 2.67, 2 Zr 2.68

Computed properties:
**Energy above the most stable polymorph in this dataset**: 245 meV per atom
**Magnetic moment**: 0.01 Bohr magnetons per cell

***

Zr4NbPd2 | PBE-GGA | relaxed

Cell: 6.6947 9.3325 4.7325 Å, 90.00 90.00 90.00°
Closest atoms and distances in Å follow each position.
Fractional positions:
Zr 0.2429 0.0000 0.0000  4 Pd 2.87, 2 Nb 2.93
Zr 0.2500 0.2500 0.5000  2 Nb 2.87, 4 Pd 2.90
Zr 0.2500 0.7500 0.5000  2 Nb 2.87, 4 Pd 2.90
Zr 0.2571 0.5000 0.0000  4 Pd 2.87, 2 Nb 2.93
Zr 0.7429 0.5000 0.0000  4 Pd 2.87, 2 Nb 2.93
Zr 0.7500 0.2500 0.5000  2 Nb 2.87, 4 Pd 2.90
Zr 0.7500 0.7500 0.5000  2 Nb 2.87, 4 Pd 2.90
Zr 0.7571 0.0000 0.0000  4 Pd 2.87, 2 Nb 2.93
Nb 0.0000 0.5000 0.5000  8 Zr 2.87-2.93
Nb 0.5000 0.0000 0.5000  8 Zr 2.87-2.93
Pd 0.0000 0.2535 0.0000  8 Zr 2.87-2.90
Pd 0.0000 0.7465 0.0000  8 Zr 2.87-2.90
Pd 0.5000 0.2465 0.0000  8 Zr 2.87-2.90
Pd 0.5000 0.7535 0.0000  8 Zr 2.87-2.90

Computed properties:
**Magnetic moment**: 0.00 Bohr magnetons per cell

***

Zr6NbPd5 | PBE-GGA | relaxed

Cell: 8.2548 8.2548 8.2548 Å, 146.32 132.28 59.68°
Closest atoms and distances in Å follow each position.
Fractional positions:
Zr 0.0848 0.3349 0.7499  7 Pd 2.86-2.95, 1 Nb 2.89
Zr 0.2495 0.0000 0.2495  6 Pd 2.89-2.99, 2 Nb 2.92
Zr 0.4150 0.6651 0.7499  7 Pd 2.86-2.95, 1 Nb 2.89
Zr 0.5850 0.3349 0.2501  7 Pd 2.86-2.95, 1 Nb 2.89
Zr 0.7505 0.0000 0.7505  6 Pd 2.89-2.99, 2 Nb 2.92
Zr 0.9152 0.6651 0.2501  7 Pd 2.86-2.95, 1 Nb 2.89
Nb 0.5000 0.5000 0.0000  8 Zr 2.89-2.92
Pd 0.0000 0.5000 0.5000  8 Zr 2.89-2.91
Pd 0.1732 0.1732 0.0000  8 Zr 2.86-2.99
Pd 0.3351 0.8351 0.5000  8 Zr 2.89-2.95
Pd 0.6649 0.1649 0.5000  8 Zr 2.89-2.95
Pd 0.8268 0.8268 0.0000  8 Zr 2.86-2.99

Computed properties:
**Magnetic moment**: 0.00 Bohr magnetons per cell

***

ZrNb2Pd | PBE-GGA | relaxed

Cell: 6.6247 6.6247 6.6247 Å, 90.00 90.00 90.00°
Closest atoms and distances in Å follow each position.
Fractional positions:
Zr 0.0000 0.0000 0.0000  8 Nb 2.87
Zr 0.0000 0.5000 0.5000  8 Nb 2.87
Zr 0.5000 0.0000 0.5000  8 Nb 2.87
Zr 0.5000 0.5000 0.0000  8 Nb 2.87
Nb 0.2500 0.2500 0.2500  4 Zr 2.87, 4 Pd 2.87
Nb 0.2500 0.2500 0.7500  4 Zr 2.87, 4 Pd 2.87
Nb 0.2500 0.7500 0.2500  4 Zr 2.87, 4 Pd 2.87
Nb 0.2500 0.7500 0.7500  4 Zr 2.87, 4 Pd 2.87
Nb 0.7500 0.2500 0.2500  4 Zr 2.87, 4 Pd 2.87
Nb 0.7500 0.2500 0.7500  4 Zr 2.87, 4 Pd 2.87
Nb 0.7500 0.7500 0.2500  4 Zr 2.87, 4 Pd 2.87
Nb 0.7500 0.7500 0.7500  4 Zr 2.87, 4 Pd 2.87
Pd 0.0000 0.0000 0.5000  8 Nb 2.87
Pd 0.0000 0.5000 0.0000  8 Nb 2.87
Pd 0.5000 0.0000 0.0000  8 Nb 2.87
Pd 0.5000 0.5000 0.5000  8 Nb 2.87

Computed properties:
**Energy above the most stable polymorph in this dataset**: 0 meV per atom
**Magnetic moment**: 0.00 Bohr magnetons per cell

***

Zr2NbPd8 | PBE-GGA | relaxed

Cell: 7.4813 7.4813 6.5863 Å, 108.41 108.41 31.69°
Closest atoms and distances in Å follow each position.
Fractional positions:
Zr 0.2173 0.2173 0.1615  10 Pd 2.76-2.98
Zr 0.7827 0.7827 0.8385  10 Pd 2.76-2.98
Nb 0.5000 0.5000 0.5000  12 Pd 2.78-2.87
Pd 0.0379 0.0379 0.2322  1 Zr 2.77, 7 Pd 2.79-2.89, 2 Nb 2.87
Pd 0.1400 0.1400 0.6832  7 Pd 2.79-2.91, 3 Zr 2.84-2.98, 2 Nb 2.84
Pd 0.3246 0.3246 0.5933  3 Zr 2.76-2.79, 1 Nb 2.79, 8 Pd 2.81-2.93
Pd 0.4020 0.4020 0.0598  3 Zr 2.76-2.95, 1 Nb 2.78, 5 Pd 2.80-2.90
Pd 0.5980 0.5980 0.9402  3 Zr 2.76-2.95, 1 Nb 2.78, 5 Pd 2.80-2.90
Pd 0.6754 0.6754 0.4067  3 Zr 2.76-2.79, 1 Nb 2.79, 8 Pd 2.81-2.93
Pd 0.8600 0.8600 0.3168  7 Pd 2.79-2.91, 3 Zr 2.84-2.98, 2 Nb 2.84
Pd 0.9621 0.9621 0.7678  1 Zr 2.77, 7 Pd 2.79-2.89, 2 Nb 2.87

Computed properties:
**Magnetic moment**: 0.00 Bohr magnetons per cell

***

Zr2NbPd | PBE-GGA | relaxed

Cell: 4.7515 4.7515 3.4349 Å, 90.00 90.00 90.00°
Closest atoms and distances in Å follow each position.
Fractional positions:
Zr 0.0000 0.5000 0.0000  4 Nb 2.93, 4 Pd 2.93
Zr 0.5000 0.0000 0.0000  4 Nb 2.93, 4 Pd 2.93
Nb 0.0000 0.0000 0.5000  8 Zr 2.93
Pd 0.5000 0.5000 0.5000  8 Zr 2.93

Computed properties:
**Energy above the most stable polymorph in this dataset**: 66 meV per atom
**Magnetic moment**: 0.00 Bohr magnetons per cell

***

ZrNbPd6 | PBE-GGA | relaxed

Cell: 4.0265 7.9764 8.2070 Å, 90.00 90.00 90.00°
Closest atoms and distances in Å follow each position.
Fractional positions:
Zr 0.0000 0.0000 0.0000  10 Pd 2.73-2.91
Zr 0.0000 0.5000 0.5000  10 Pd 2.73-2.91
Nb 0.5000 0.0000 0.3147  8 Pd 2.67-2.75
Nb 0.5000 0.5000 0.8147  8 Pd 2.67-2.75
Pd 0.0000 0.0000 0.5281  2 Nb 2.67, 10 Pd 2.78-2.95
Pd 0.0000 0.2308 0.2746  2 Nb 2.75, 8 Pd 2.78-2.95, 2 Zr 2.83-2.91
Pd 0.0000 0.2692 0.7746  2 Nb 2.75, 8 Pd 2.78-2.95, 2 Zr 2.83-2.91
Pd 0.0000 0.5000 0.0281  2 Nb 2.67, 10 Pd 2.78-2.95
Pd 0.0000 0.7308 0.7746  2 Nb 2.75, 8 Pd 2.78-2.95, 2 Zr 2.83-2.91
Pd 0.0000 0.7692 0.2746  2 Nb 2.75, 8 Pd 2.78-2.95, 2 Zr 2.83-2.91
Pd 0.5000 0.0000 0.7756  2 Zr 2.73, 10 Pd 2.85-2.94
Pd 0.5000 0.2388 0.0333  2 Nb 2.75-2.99, 2 Zr 2.78, 8 Pd 2.82-2.94
Pd 0.5000 0.2612 0.5333  2 Nb 2.75-2.99, 2 Zr 2.78, 8 Pd 2.82-2.94
Pd 0.5000 0.5000 0.2756  2 Zr 2.73, 10 Pd 2.85-2.94
Pd 0.5000 0.7388 0.5333  2 Nb 2.75-2.99, 2 Zr 2.78, 8 Pd 2.82-2.94
Pd 0.5000 0.7612 0.0333  2 Nb 2.75-2.99, 2 Zr 2.78, 8 Pd 2.82-2.94

Computed properties:
**Magnetic moment**: 0.00 Bohr magnetons per cell

***

ZrNbPd4 | PBE-GGA | relaxed

Cell: 7.7952 2.8689 18.0694 Å, 90.00 90.00 90.00°
Closest atoms and distances in Å follow each position.
Fractional positions:
Zr 0.2431 0.2500 0.0604  9 Pd 2.74-2.91, 2 Zr 2.87
Zr 0.2569 0.7500 0.5604  9 Pd 2.74-2.91, 2 Zr 2.87
Zr 0.7431 0.2500 0.4396  9 Pd 2.74-2.91, 2 Zr 2.87
Zr 0.7569 0.7500 0.9396  9 Pd 2.74-2.91, 2 Zr 2.87
Nb 0.2476 0.7500 0.3110  9 Pd 2.65-2.90, 2 Nb 2.87
Nb 0.2524 0.2500 0.8110  9 Pd 2.65-2.90, 2 Nb 2.87
Nb 0.7476 0.7500 0.1890  9 Pd 2.65-2.90, 2 Nb 2.87
Nb 0.7524 0.2500 0.6890  9 Pd 2.65-2.90, 2 Nb 2.87
Pd 0.0586 0.7500 0.4337  1 Nb 2.66, 3 Zr 2.76-2.85, 8 Pd 2.87-2.97
Pd 0.0749 0.7500 0.6967  1 Zr 2.84, 8 Pd 2.87-2.98, 4 Nb 2.87-2.90
Pd 0.0922 0.7500 0.1808  2 Nb 2.65-2.69, 2 Zr 2.86, 6 Pd 2.87-2.95
Pd 0.1077 0.7500 0.9328  3 Zr 2.74-2.91, 2 Nb 2.86, 6 Pd 2.87-2.97
Pd 0.3923 0.2500 0.4328  3 Zr 2.74-2.91, 2 Nb 2.86, 6 Pd 2.87-2.97
Pd 0.4078 0.2500 0.6808  2 Nb 2.65-2.69, 2 Zr 2.86, 6 Pd 2.87-2.95
Pd 0.4251 0.2500 0.1967  1 Zr 2.84, 8 Pd 2.87-2.98, 4 Nb 2.87-2.90
Pd 0.4414 0.2500 0.9337  1 Nb 2.66, 3 Zr 2.76-2.85, 8 Pd 2.87-2.97
Pd 0.5586 0.7500 0.0663  1 Nb 2.66, 3 Zr 2.76-2.85, 8 Pd 2.87-2.97
Pd 0.5749 0.7500 0.8033  1 Zr 2.84, 8 Pd 2.87-2.98, 4 Nb 2.87-2.90
Pd 0.5922 0.7500 0.3192  2 Nb 2.65-2.69, 2 Zr 2.86, 6 Pd 2.87-2.95
Pd 0.6077 0.7500 0.5672  3 Zr 2.74-2.91, 2 Nb 2.86, 6 Pd 2.87-2.97
Pd 0.8923 0.2500 0.0672  3 Zr 2.74-2.91, 2 Nb 2.86, 6 Pd 2.87-2.97
Pd 0.9078 0.2500 0.8192  2 Nb 2.65-2.69, 2 Zr 2.86, 6 Pd 2.87-2.95
Pd 0.9251 0.2500 0.3033  1 Zr 2.84, 8 Pd 2.87-2.98, 4 Nb 2.87-2.90
Pd 0.9414 0.2500 0.5663  1 Nb 2.66, 3 Zr 2.76-2.85, 8 Pd 2.87-2.97

Computed properties:
**Energy above the most stable polymorph in this dataset**: 0 meV per atom
**Magnetic moment**: 0.00 Bohr magnetons per cell

***

| no. | ρ (Mg/m³) | calculated formation energy (eV per atom) |
| --- | --- | --- |
| 1 | 7.985 | 0.256 |
| 2 | 7.533 | -0.190 |
| 3 | 8.512 | -0.502 |
| 4 | 8.761 | 0.011 |
| 5 | 10.228 | -0.568 |
| 6 | 8.175 | -0.279 |
| 7 | 10.365 | -0.447 |
| 8 | 10.024 | -0.442 |